[1]
Density functional theory data (GGA-PBE) for an optimized crystal structure of CdSi2Se4.

Cell lengths 7.0098, 7.0098, 7.0098 Å; angles 100.26, 100.26, 130.07 degrees
Last column: nearest neighbours and their distance in Å.
Element x y z (fractional)
Si: 0.7500 0.2500 0.5000  4 Se 2.31
Si: 0.2500 0.7500 0.5000  4 Se 2.31
Cd: 0.5000 0.5000 0.0000  12 Se 4.15-4.19
Se: 0.3165 0.0715 0.3879  2 Si 2.31
Se: 0.6835 0.9285 0.6121  2 Si 2.31
Se: 0.9285 0.3165 0.2450  2 Si 2.31
Se: 0.0715 0.6835 0.7550  2 Si 2.31

Output
D(E_F), states/eV/atom: 0.000
Total energy, eV/f.u.: -27.80
Size of the total moment, μB/atom: 0.000
Space group: No. 87

=====

[2]
Density functional theory data (GGA-PBE) for an optimized crystal structure of CdSiSe2.

Cell lengths 3.3439, 3.3439, 9.5206 Å; angles 90.00, 90.00, 116.22 degrees
Last column: nearest neighbours and their distance in Å.
Element x y z (fractional)
Se: 0.5000 0.5000 0.3246  2 Si 2.40
Se: 0.0000 0.0000 0.9485  2 Cd 2.72
Si: 0.0000 0.0000 0.4952  2 Se 2.40
Cd: 0.5000 0.5000 0.7316  2 Se 2.72, 2 Si 2.86

Output
D(E_F), states/eV/atom: 0.631
Total energy, eV/f.u.: -12.34
Size of the total moment, μB/atom: 0.000
Space group: No. 35

=====

[3]
Density functional theory data (GGA-PBE) for an optimized crystal structure of CdSiSe2.

Cell lengths 6.6821, 6.6821, 4.1291 Å; angles 92.82, 92.82, 31.21 degrees
Last column: nearest neighbours and their distance in Å.
Element x y z (fractional)
Si: 0.5426 0.5426 0.2883  4 Se 2.49-2.79
Cd: 0.7700 0.7700 0.9059  5 Se 2.71-2.87
Se: 0.2066 0.2066 0.3993  2 Si 2.79, 4 Cd 2.85-2.87
Se: 0.9807 0.9807 0.9064  2 Si 2.49, 1 Cd 2.71

Output
D(E_F), states/eV/atom: 0.220
Total energy, eV/f.u.: -13.59
Size of the total moment, μB/atom: 0.000
Space group: No. 8

=====

[4]
Density functional theory data (GGA-PBE) for an optimized crystal structure of CdSiSe.

Cell lengths 6.2564, 4.0194, 7.3648 Å; angles 90.00, 111.53, 90.00 degrees
Last column: nearest neighbours and their distance in Å.
Element x y z (fractional)
Si: 0.9494 0.0000 0.7195  1 Se 2.36, 2 Si 2.40, 1 Cd 2.57
Si: 0.1116 0.5000 0.8943  1 Se 2.38, 2 Si 2.40, 1 Cd 2.56
Cd: 0.0664 0.0000 0.4189  1 Si 2.57, 2 Se 2.70
Cd: 0.5286 0.5000 0.9126  1 Si 2.56, 3 Se 2.71-2.76
Se: 0.5536 0.0000 0.6645  1 Si 2.36
Se: 0.9754 0.5000 0.1568  1 Si 2.38

Output
Distance to the lowest polymorph of the same formula, meV/atom: 41
Size of the total moment, μB/atom: 0.000
Space group: No. 6

=====

[5]
Density functional theory data (GGA-PBE) for an optimized crystal structure of CdSiSe.

Cell lengths 3.9912, 17.3578, 4.8328 Å; angles 90.00, 106.54, 90.00 degrees
Last column: nearest neighbours and their distance in Å.
Element x y z (fractional)
Se: 0.0000 0.3350 0.0000  4 Cd 2.71-2.73
Se: 0.0000 0.8350 0.5000  4 Cd 2.71-2.73
Se: 0.5000 0.5135 0.5000  2 Si 2.45, 2 Cd 2.73
Se: 0.5000 0.0135 0.0000  2 Si 2.45, 2 Cd 2.73
Si: 0.2968 0.6134 0.1338  2 Si 2.34-2.35, 1 Se 2.45
Si: 0.7032 0.1134 0.3662  2 Si 2.34-2.35, 1 Se 2.45
Si: 0.2968 0.1134 0.6338  2 Si 2.34-2.35, 1 Se 2.45
Si: 0.7032 0.6134 0.8662  2 Si 2.34-2.35, 1 Se 2.45
Cd: 0.0000 0.4060 0.5000  4 Se 2.71-2.73
Cd: 0.0000 0.9060 0.0000  4 Se 2.71-2.73
Cd: 0.5000 0.7279 0.5000  2 Si 2.63, 2 Se 2.73
Cd: 0.5000 0.2279 0.0000  2 Si 2.63, 2 Se 2.73

Output
D(E_F), states/eV/atom: 0.168
Distance to the lowest polymorph of the same formula, meV/atom: 127
Size of the total moment, μB/atom: 0.000
Space group: No. 5

=====

[6]
Density functional theory data (GGA-PBE) for an optimized crystal structure of CdSiSe2.

Cell lengths 4.1800, 4.1800, 9.4362 Å; angles 90.00, 90.00, 132.99 degrees
Last column: nearest neighbours and their distance in Å.
Element x y z (fractional)
Se: 0.0000 0.0000 0.0718  2 Si 2.37
Se: 0.0000 0.0000 0.4282  2 Si 2.37
Si: 0.5000 0.5000 0.2500  4 Se 2.37
Cd: 0.5000 0.5000 0.7500  2 Cd 3.33, 4 Se 3.46

Output
D(E_F), states/eV/atom: 0.205
Total energy, eV/f.u.: -12.82
Size of the total moment, μB/atom: 0.000
Space group: No. 65

=====

[7]
Density functional theory data (GGA-PBE) for an optimized crystal structure of CdSiSe2.

Cell lengths 3.9827, 3.9827, 6.8373 Å; angles 73.01, 73.01, 59.95 degrees
Last column: nearest neighbours and their distance in Å.
Element x y z (fractional)
Se: 0.9940 0.9940 0.0185  3 Si 2.74, 3 Cd 2.87-2.88
Se: 0.5060 0.5060 0.4815  3 Si 2.74, 3 Cd 2.87-2.88
Cd: 0.7500 0.7500 0.7500  6 Se 2.87-2.88
Si: 0.2500 0.2500 0.2500  6 Se 2.74

Output
D(E_F), states/eV/atom: 0.229
Total energy, eV/f.u.: -14.03
Size of the total moment, μB/atom: 0.000
Space group: No. 166

=====

[8]
Density functional theory data (GGA-PBE) for an optimized crystal structure of CdSiSe2.

Cell lengths 3.3549, 4.5415, 5.5710 Å; angles 90.00, 90.00, 90.00 degrees
Last column: nearest neighbours and their distance in Å.
Element x y z (fractional)
Cd: 0.0000 0.5000 0.5000  4 Si 2.82
Se: 0.0000 0.0000 0.0000  4 Se 2.82
Se: 0.5000 0.5000 0.0000  4 Se 2.82
Si: 0.5000 0.0000 0.5000  4 Cd 2.82

Output
D(E_F), states/eV/atom: 0.422
Total energy, eV/f.u.: -11.59
Size of the total moment, μB/atom: 0.000
Space group: No. 47

=====

[9]
Density functional theory data (GGA-PBE) for an optimized crystal structure of CdSi2Se6.

Cell lengths 6.6239, 9.1701, 9.1701 Å; angles 102.90, 76.41, 76.41 degrees
Last column: nearest neighbours and their distance in Å.
Element x y z (fractional)
Se: 0.8401 0.5810 0.7317  2 Si 2.32-2.33
Se: 0.9315 0.1366 0.9881  1 Si 2.35, 1 Se 2.53
Se: 0.1599 0.4190 0.2683  2 Si 2.32-2.33
Se: 0.4315 0.9881 0.1366  1 Si 2.35, 1 Se 2.53
Se: 0.6599 0.2683 0.4190  2 Si 2.32-2.33
Se: 0.6832 0.5081 0.1223  1 Si 2.25
Se: 0.8168 0.8777 0.4919  1 Si 2.25
Se: 0.1832 0.1223 0.5081  1 Si 2.25
Se: 0.3401 0.7317 0.5810  2 Si 2.32-2.33
Se: 0.3168 0.4919 0.8777  1 Si 2.25
Se: 0.5685 0.0119 0.8634  1 Si 2.35, 1 Se 2.53
Se: 0.0685 0.8634 0.0119  1 Si 2.35, 1 Se 2.53
Si: 0.6302 0.7803 0.6642  4 Se 2.25-2.35
Si: 0.3698 0.2197 0.3358  4 Se 2.25-2.35
Si: 0.1302 0.6642 0.7803  4 Se 2.25-2.35
Si: 0.8698 0.3358 0.2197  4 Se 2.25-2.35
Cd: 0.2500 0.2166 0.7834  4 Se 2.65-2.83
Cd: 0.7500 0.7834 0.2166  4 Se 2.65-2.83

Output
Total energy, eV/f.u.: -35.50
Size of the total moment, μB/atom: 0.000
Space group: No. 15

=====

[10]
Density functional theory data (GGA-PBE) for an optimized crystal structure of CdSiSe2.

Cell lengths 7.0696, 7.0696, 7.0696 Å; angles 150.24, 149.24, 43.32 degrees
Last column: nearest neighbours and their distance in Å.
Element x y z (fractional)
Cd: 0.7053 0.2053 0.5000  6 Se 2.90-2.92
Si: 0.4536 0.4536 0.0000  6 Se 2.67-2.83
Se: 0.0369 0.0369 0.0000  4 Si 2.83, 2 Cd 2.90
Se: 0.3042 0.8042 0.5000  2 Si 2.67, 4 Cd 2.92

Output
D(E_F), states/eV/atom: 0.220
Total energy, eV/f.u.: -13.34
Size of the total moment, μB/atom: 0.000
Space group: No. 44

=====

[11]
Density functional theory data (GGA-PBE) for an optimized crystal structure of CdSiSe.

Cell lengths 4.9094, 5.4720, 6.3688 Å; angles 95.62, 100.14, 104.25 degrees
Last column: nearest neighbours and their distance in Å.
Element x y z (fractional)
Se: 0.7446 0.4189 0.3457  1 Si 2.33
Se: 0.1382 0.2791 0.8388  2 Si 2.39-2.40
Si: 0.7179 0.9426 0.8389  1 Si 2.38, 1 Se 2.40, 2 Cd 2.57-2.59
Si: 0.4505 0.1009 0.0725  2 Se 2.33-2.39, 1 Si 2.38
Cd: 0.9898 0.6697 0.0523  2 Si 2.57-2.81, 2 Se 2.70-2.74
Cd: 0.4792 0.8223 0.4334  2 Si 2.59-2.88, 1 Se 2.88

Output
Distance to the lowest polymorph of the same formula, meV/atom: 159
Size of the total moment, μB/atom: 0.000
Space group: No. 1

=====

[12]
Density functional theory data (GGA-PBE) for an optimized crystal structure of CdSiSe.

Cell lengths 3.4548, 3.4548, 7.8386 Å; angles 90.00, 90.00, 120.00 degrees
Last column: nearest neighbours and their distance in Å.
Element x y z (fractional)
Se: 0.6667 0.3333 0.4414  3 Si 2.46
Si: 0.3333 0.6667 0.6244  3 Se 2.46
Cd: 0.0000 0.0000 0.9342  3 Si 3.14, 6 Cd 3.45

Output
Distance to the lowest polymorph of the same formula, meV/atom: 334
Size of the total moment, μB/atom: 0.000
Space group: No. 156

=====

[13]
Density functional theory data (GGA-PBE) for an optimized crystal structure of CdSi3Se.

Cell lengths 4.9035, 4.9035, 4.9035 Å; angles 90.00, 90.00, 90.00 degrees
Last column: nearest neighbours and their distance in Å.
Element x y z (fractional)
Si: 0.0000 0.5000 0.0000  2 Se 2.45
Si: 0.5000 0.0000 0.0000  2 Se 2.45
Si: 0.0000 0.0000 0.5000  2 Se 2.45
Cd: 0.5000 0.5000 0.5000  12 Si 3.47
Se: 0.0000 0.0000 0.0000  6 Si 2.45

Output
D(E_F), states/eV/atom: 0.336
Distance to the lowest polymorph of the same formula, meV/atom: 0
Size of the total moment, μB/atom: 0.000
Space group: No. 221

=====

[14]
Density functional theory data (GGA-PBE) for an optimized crystal structure of CdSiSe2.

Cell lengths 5.5285, 3.9383, 4.1754 Å; angles 90.19, 90.00, 90.00 degrees
Last column: nearest neighbours and their distance in Å.
Element x y z (fractional)
Cd: 0.5000 0.8768 0.8313  6 Se 2.75-3.00
Se: 0.0000 0.8729 0.9551  2 Si 2.55-2.56, 2 Cd 2.81
Se: 0.5000 0.3749 0.3698  4 Cd 2.75-3.00, 2 Si 2.77
Si: 0.0000 0.3754 0.3438  4 Se 2.55-2.77

Output
D(E_F), states/eV/atom: 0.177
Total energy, eV/f.u.: -14.16
Size of the total moment, μB/atom: 0.000
Space group: No. 6

=====

[15]
Density functional theory data (GGA-PBE) for an optimized crystal structure of CdSiSe2.

Cell lengths 3.4308, 3.4308, 6.9948 Å; angles 90.00, 90.00, 90.00 degrees
Last column: nearest neighbours and their distance in Å.
Element x y z (fractional)
Cd: 0.5000 0.5000 0.7500  8 Se 3.06, 4 Cd 3.43
Se: 0.0000 0.0000 0.4823  4 Si 2.92, 4 Cd 3.06, 1 Se 3.25
Se: 0.0000 0.0000 0.0177  4 Si 2.92, 4 Cd 3.06, 1 Se 3.25
Si: 0.5000 0.5000 0.2500  8 Se 2.92

Output
D(E_F), states/eV/atom: 0.424
Total energy, eV/f.u.: -12.46
Size of the total moment, μB/atom: 0.000
Space group: No. 123

=====

[16]
Density functional theory data (GGA-PBE) for an optimized crystal structure of CdSiSe.

Cell lengths 6.1005, 6.1005, 6.1005 Å; angles 147.97, 147.97, 45.93 degrees
Last column: nearest neighbours and their distance in Å.
Element x y z (fractional)
Se: 0.2977 0.2977 0.0000  4 Si 2.65
Cd: 0.0083 0.0083 0.0000  5 Si 3.16-3.53, 5 Se 3.25-3.36, 4 Cd 3.37
Si: 0.6940 0.6940 0.0000  4 Se 2.65

Output
D(E_F), states/eV/atom: 0.493
Distance to the lowest polymorph of the same formula, meV/atom: 485
Size of the total moment, μB/atom: 0.000
Space group: No. 107

=====

[17]
Density functional theory data (GGA-PBE) for an optimized crystal structure of CdSiSe.

Cell lengths 4.0265, 6.1923, 13.2686 Å; angles 90.00, 107.53, 90.00 degrees
Last column: nearest neighbours and their distance in Å.
Element x y z (fractional)
Si: 0.5000 0.3849 0.5000  2 Se 2.37, 2 Si 2.37
Si: 0.0000 0.1816 0.5000  2 Si 2.37, 2 Cd 2.55
Si: 0.0000 0.6816 0.0000  2 Si 2.37, 2 Cd 2.55
Si: 0.5000 0.8849 0.0000  2 Se 2.37, 2 Si 2.37
Se: 0.6531 0.1041 0.1540  1 Si 2.37
Se: 0.3469 0.1041 0.8460  1 Si 2.37
Se: 0.6531 0.6041 0.6540  1 Si 2.37
Se: 0.3469 0.6041 0.3460  1 Si 2.37
Cd: 0.1482 0.9034 0.6488  1 Si 2.55, 3 Se 2.74-2.79
Cd: 0.1482 0.4034 0.1488  1 Si 2.55, 3 Se 2.74-2.79
Cd: 0.8518 0.9034 0.3512  1 Si 2.55, 3 Se 2.74-2.79
Cd: 0.8518 0.4034 0.8512  1 Si 2.55, 3 Se 2.74-2.79

Output
Distance to the lowest polymorph of the same formula, meV/atom: 0
Size of the total moment, μB/atom: 0.000
Space group: No. 5

=====

[18]
Density functional theory data (GGA-PBE) for an optimized crystal structure of CdSiSe.

Cell lengths 4.0194, 6.2482, 6.8080 Å; angles 88.69, 88.78, 88.19 degrees
Last column: nearest neighbours and their distance in Å.
Element x y z (fractional)
Cd: 0.1310 0.9012 0.5554  1 Si 2.62, 1 Cd 2.72, 1 Se 2.90
Cd: 0.0859 0.5371 0.7785  1 Cd 2.72, 3 Se 2.88-2.97
Si: 0.6450 0.1162 0.0226  2 Se 2.30-2.38, 2 Si 2.33-2.37
Si: 0.1366 0.0587 0.1949  2 Si 2.33-2.37, 1 Se 2.42
Se: 0.8823 0.4146 0.1729  2 Si 2.38-2.42
Se: 0.5990 0.2057 0.6940  1 Si 2.30

Output
Distance to the lowest polymorph of the same formula, meV/atom: 159
Size of the total moment, μB/atom: 0.000
Space group: No. 1

=====

[19]
Density functional theory data (GGA-PBE) for an optimized crystal structure of CdSiSe2.

Cell lengths 9.9502, 9.9502, 9.9502 Å; angles 20.16, 20.16, 20.16 degrees
Last column: nearest neighbours and their distance in Å.
Element x y z (fractional)
Cd: 0.0000 0.0000 0.0000  2 Se 3.43, 6 Cd 3.48
Se: 0.1173 0.1173 0.1173  3 Si 2.48
Se: 0.8827 0.8827 0.8827  3 Si 2.48
Si: 0.5000 0.5000 0.5000  6 Se 2.48

Output
D(E_F), states/eV/atom: 0.232
Total energy, eV/f.u.: -13.99
Size of the total moment, μB/atom: 0.000
Space group: No. 166

=====

[20]
Density functional theory data (GGA-PBE) for an optimized crystal structure of CdSiSe.

Cell lengths 5.1511, 5.1511, 2.7776 Å; angles 90.00, 90.00, 120.00 degrees
Last column: nearest neighbours and their distance in Å.
Element x y z (fractional)
Se: 0.6667 0.3333 0.3334  2 Se 2.78, 3 Cd 2.97, 3 Si 2.97
Si: 0.3333 0.6667 0.3312  2 Si 2.78, 3 Se 2.97, 3 Cd 2.97
Cd: 0.0000 0.0000 0.3354  2 Cd 2.78, 3 Se 2.97, 3 Si 2.97

Output
D(E_F), states/eV/atom: 0.332
Distance to the lowest polymorph of the same formula, meV/atom: 599
Size of the total moment, μB/atom: 0.000
Space group: No. 156